Record 1
# NdDyPdPt, optimized geometry, DFT PBE
data_NdDyPdPt
_chemical_formula_sum 'Nd4 Dy4 Pd4 Pt4'
_cell_length_a 7.1186
_cell_length_b 7.1186
_cell_length_c 7.1186
_cell_angle_alpha 90.00
_cell_angle_beta 90.00
_cell_angle_gamma 90.00
_symmetry_space_group_name_H-M 'F -4 3 m'
_symmetry_Int_Tables_number 216
_symmetry_space_group_name_Hall 'F -4 2 3'
loop_
_atom_site_label
_atom_site_type_symbol
_atom_site_fract_x
_atom_site_fract_y
_atom_site_fract_z
Nd1 Nd 0.0000 0.0000 0.0000
Dy1 Dy 0.0000 0.0000 0.5000
Pd1 Pd 0.2500 0.2500 0.7500
Pt1 Pt 0.2500 0.2500 0.2500
# DFT total energy: -97.93 eV per cell
# Spin magnetization: 0.00 Bohr magnetons per cell
# Formation enthalpy at 0 K: -0.970 eV/atom
# V: 360.73 Å³/cell
# Offset from the most stable computed form: 71 meV/atom

***

Record 2
# NdDyPdRh, optimized geometry, DFT PBE
data_NdDyPdRh
_chemical_formula_sum 'Nd2 Dy2 Pd2 Rh2'
_cell_length_a 4.4951
_cell_length_b 3.7822
_cell_length_c 10.6992
_cell_angle_alpha 90.00
_cell_angle_beta 90.00
_cell_angle_gamma 90.00
_symmetry_space_group_name_H-M 'A m m 2'
_symmetry_Int_Tables_number 38
_symmetry_space_group_name_Hall 'A 2 -2'
loop_
_atom_site_label
_atom_site_type_symbol
_atom_site_fract_x
_atom_site_fract_y
_atom_site_fract_z
Nd1 Nd 0.0000 0.0000 0.0000
Dy1 Dy 0.5000 0.0000 0.2780
Pd1 Pd 0.5000 0.0000 0.5598
Rh1 Rh 0.0000 0.0000 0.7334
# DFT total energy: -50.31 eV per cell
# Spin magnetization: 0.00 Bohr magnetons per cell
# Formation enthalpy at 0 K: -0.810 eV/atom
# V: 181.90 Å³/cell
# Offset from the most stable computed form: 0 meV/atom

***

Record 3
# NdDyPdRh, optimized geometry, DFT PBE
data_NdDyPdRh
_chemical_formula_sum 'Nd4 Dy4 Pd4 Rh4'
_cell_length_a 7.0517
_cell_length_b 7.0517
_cell_length_c 7.0517
_cell_angle_alpha 90.00
_cell_angle_beta 90.00
_cell_angle_gamma 90.00
_symmetry_space_group_name_H-M 'F -4 3 m'
_symmetry_Int_Tables_number 216
_symmetry_space_group_name_Hall 'F -4 2 3'
loop_
_atom_site_label
_atom_site_type_symbol
_atom_site_fract_x
_atom_site_fract_y
_atom_site_fract_z
Nd1 Nd 0.0000 0.0000 0.0000
Dy1 Dy 0.0000 0.0000 0.5000
Pd1 Pd 0.2500 0.2500 0.7500
Rh1 Rh 0.2500 0.2500 0.2500
# DFT total energy: -100.09 eV per cell
# Spin magnetization: 0.00 Bohr magnetons per cell
# Formation enthalpy at 0 K: -0.777 eV/atom
# V: 350.65 Å³/cell
# Offset from the most stable computed form: 33 meV/atom

***

Record 4
# NdDyPdRu, optimized geometry, DFT PBE
data_NdDyPdRu
_chemical_formula_sum 'Nd1 Dy1 Pd1 Ru1'
_cell_length_a 3.4699
_cell_length_b 3.4699
_cell_length_c 7.1932
_cell_angle_alpha 90.00
_cell_angle_beta 90.00
_cell_angle_gamma 90.00
_symmetry_space_group_name_H-M 'P 4 m m'
_symmetry_Int_Tables_number 99
_symmetry_space_group_name_Hall 'P 4 -2'
loop_
_atom_site_label
_atom_site_type_symbol
_atom_site_fract_x
_atom_site_fract_y
_atom_site_fract_z
Nd1 Nd 0.0000 0.0000 0.0000
Dy1 Dy 0.0000 0.0000 0.4783
Pd1 Pd 0.5000 0.5000 0.7183
Ru1 Ru 0.5000 0.5000 0.2489
# DFT total energy: -26.12 eV per cell
# Spin magnetization: 0.00 Bohr magnetons per cell
# Formation enthalpy at 0 K: -0.571 eV/atom
# V: 86.61 Å³/cell
# Offset from the most stable computed form: 0 meV/atom

***

Record 5
# NdDyPdRu, optimized geometry, DFT PBE
data_NdDyPdRu
_chemical_formula_sum 'Nd4 Dy4 Pd4 Ru4'
_cell_length_a 7.0174
_cell_length_b 7.0174
_cell_length_c 7.0174
_cell_angle_alpha 90.00
_cell_angle_beta 90.00
_cell_angle_gamma 90.00
_symmetry_space_group_name_H-M 'F -4 3 m'
_symmetry_Int_Tables_number 216
_symmetry_space_group_name_Hall 'F -4 2 3'
loop_
_atom_site_label
_atom_site_type_symbol
_atom_site_fract_x
_atom_site_fract_y
_atom_site_fract_z
Nd1 Nd 0.0000 0.0000 0.0000
Dy1 Dy 0.0000 0.0000 0.5000
Pd1 Pd 0.2500 0.2500 0.7500
Ru1 Ru 0.2500 0.2500 0.2500
# DFT total energy: -103.76 eV per cell
# Spin magnetization: 0.00 Bohr magnetons per cell
# Formation enthalpy at 0 K: -0.525 eV/atom
# V: 345.57 Å³/cell
# Offset from the most stable computed form: 46 meV/atom

***

Record 6
# NdDySi2Pd5, optimized geometry, DFT PBE
data_NdDySi2Pd5
_chemical_formula_sum 'Nd1 Dy1 Si2 Pd5'
_cell_length_a 4.2189
_cell_length_b 4.2189
_cell_length_c 9.0284
_cell_angle_alpha 90.00
_cell_angle_beta 90.00
_cell_angle_gamma 90.00
_symmetry_space_group_name_H-M 'P 4/m m m'
_symmetry_Int_Tables_number 123
_symmetry_space_group_name_Hall '-P 4 2'
loop_
_atom_site_label
_atom_site_type_symbol
_atom_site_fract_x
_atom_site_fract_y
_atom_site_fract_z
Nd1 Nd 0.0000 0.0000 0.0000
Dy1 Dy 0.0000 0.0000 0.5000
Si1 Si 0.5000 0.5000 0.3697
Pd1 Pd 0.0000 0.5000 0.2370
Pd2 Pd 0.5000 0.5000 0.0000
# DFT total energy: -54.22 eV per cell
# Uncorrected formation energy: -0.894 eV per atom
# Spin magnetization: 0.00 Bohr magnetons per cell
# V: 160.70 Å³/cell

***

Record 7
# NdDySi2Pd2, optimized geometry, DFT PBE
data_NdDySi2Pd2
_chemical_formula_sum 'Nd1 Dy1 Si2 Pd2'
_cell_length_a 4.2175
_cell_length_b 4.2175
_cell_length_c 8.0818
_cell_angle_alpha 90.00
_cell_angle_beta 90.00
_cell_angle_gamma 120.00
_symmetry_space_group_name_H-M 'P -3 m 1'
_symmetry_Int_Tables_number 164
_symmetry_space_group_name_Hall '-P 3 2"'
loop_
_atom_site_label
_atom_site_type_symbol
_atom_site_fract_x
_atom_site_fract_y
_atom_site_fract_z
Nd1 Nd 0.0000 0.0000 0.0000
Dy1 Dy 0.0000 0.0000 0.5000
Si1 Si 0.3333 0.6667 0.2541
Pd1 Pd 0.3333 0.6667 0.7325
# DFT total energy: -36.08 eV per cell
# Uncorrected formation energy: -0.913 eV per atom
# Spin magnetization: 0.00 Bohr magnetons per cell
# V: 124.49 Å³/cell

***

Record 8
# NdDyTlPd, optimized geometry, DFT PBE
data_NdDyTlPd
_chemical_formula_sum 'Nd4 Dy4 Tl4 Pd4'
_cell_length_a 7.4435
_cell_length_b 7.4435
_cell_length_c 7.4435
_cell_angle_alpha 90.00
_cell_angle_beta 90.00
_cell_angle_gamma 90.00
_symmetry_space_group_name_H-M 'F -4 3 m'
_symmetry_Int_Tables_number 216
_symmetry_space_group_name_Hall 'F -4 2 3'
loop_
_atom_site_label
_atom_site_type_symbol
_atom_site_fract_x
_atom_site_fract_y
_atom_site_fract_z
Nd1 Nd 0.0000 0.0000 0.0000
Dy1 Dy 0.0000 0.0000 0.5000
Tl1 Tl 0.2500 0.2500 0.2500
Pd1 Pd 0.2500 0.2500 0.7500
# DFT total energy: -75.78 eV per cell
# Spin magnetization: 0.00 Bohr magnetons per cell
# Formation enthalpy at 0 K: -0.504 eV/atom
# V: 412.41 Å³/cell

***

Record 9
# NdDyZnPd, optimized geometry, DFT PBE
data_NdDyZnPd
_chemical_formula_sum 'Nd4 Dy4 Zn4 Pd4'
_cell_length_a 7.2006
_cell_length_b 7.2006
_cell_length_c 7.2006
_cell_angle_alpha 90.00
_cell_angle_beta 90.00
_cell_angle_gamma 90.00
_symmetry_space_group_name_H-M 'F -4 3 m'
_symmetry_Int_Tables_number 216
_symmetry_space_group_name_Hall 'F -4 2 3'
loop_
_atom_site_label
_atom_site_type_symbol
_atom_site_fract_x
_atom_site_fract_y
_atom_site_fract_z
Nd1 Nd 0.0000 0.0000 0.0000
Dy1 Dy 0.0000 0.0000 0.5000
Zn1 Zn 0.2500 0.2500 0.2500
Pd1 Pd 0.2500 0.2500 0.7500
# DFT total energy: -72.06 eV per cell
# Spin magnetization: 0.00 Bohr magnetons per cell
# Formation enthalpy at 0 K: -0.544 eV/atom
# V: 373.35 Å³/cell
# Offset from the most stable computed form: 33 meV/atom

***

Record 10
# NdDyZnPd, optimized geometry, DFT PBE
data_NdDyZnPd
_chemical_formula_sum 'Nd1 Dy1 Zn1 Pd1'
_cell_length_a 3.6154
_cell_length_b 3.6154
_cell_length_c 7.1160
_cell_angle_alpha 90.00
_cell_angle_beta 90.00
_cell_angle_gamma 90.00
_symmetry_space_group_name_H-M 'P 4 m m'
_symmetry_Int_Tables_number 99
_symmetry_space_group_name_Hall 'P 4 -2'
loop_
_atom_site_label
_atom_site_type_symbol
_atom_site_fract_x
_atom_site_fract_y
_atom_site_fract_z
Nd1 Nd 0.0000 0.0000 0.0000
Dy1 Dy 0.0000 0.0000 0.4895
Zn1 Zn 0.5000 0.5000 0.7299
Pd1 Pd 0.5000 0.5000 0.2705
# DFT total energy: -18.14 eV per cell
# Spin magnetization: 0.00 Bohr magnetons per cell
# Formation enthalpy at 0 K: -0.577 eV/atom
# V: 93.01 Å³/cell
# Offset from the most stable computed form: 0 meV/atom

***

Record 11
# Pm4Nd6Dy, optimized geometry, DFT PBE
data_Pm4Nd6Dy
_chemical_formula_sum 'Pm8 Nd12 Dy2'
_cell_length_a 6.7058
_cell_length_b 6.7058
_cell_length_c 17.4523
_cell_angle_alpha 90.00
_cell_angle_beta 90.00
_cell_angle_gamma 90.00
_symmetry_space_group_name_H-M 'I -4 2 m'
_symmetry_Int_Tables_number 121
_symmetry_space_group_name_Hall 'I -4 2'
loop_
_atom_site_label
_atom_site_type_symbol
_atom_site_fract_x
_atom_site_fract_y
_atom_site_fract_z
Pm1 Pm 0.1886 0.1886 0.1768
Nd1 Nd 0.0000 0.5000 0.0000
Nd2 Nd 0.1778 0.1778 0.3710
Dy1 Dy 0.0000 0.0000 0.0000
# DFT total energy: -98.30 eV per cell
# Spin magnetization: 0.00 Bohr magnetons per cell
# Formation enthalpy at 0 K: 0.278 eV/atom
# V: 784.80 Å³/cell

***

Record 12
# Pm7Nd4Dy, optimized geometry, DFT PBE
data_Pm7Nd4Dy
_chemical_formula_sum 'Pm7 Nd4 Dy1'
_cell_length_a 6.3636
_cell_length_b 7.3555
_cell_length_c 9.1076
_cell_angle_alpha 89.94
_cell_angle_beta 76.47
_cell_angle_gamma 89.99
_symmetry_space_group_name_H-M 'P -1'
_symmetry_Int_Tables_number 2
_symmetry_space_group_name_Hall '-P 1'
loop_
_atom_site_label
_atom_site_type_symbol
_atom_site_fract_x
_atom_site_fract_y
_atom_site_fract_z
Pm1 Pm 0.0000 0.0000 0.0000
Pm2 Pm 0.2214 0.5003 0.3318
Pm3 Pm 0.2773 0.2512 0.6697
Pm4 Pm 0.4999 0.2514 0.9997
Nd1 Nd 0.2237 0.0000 0.3322
Nd2 Nd 0.2774 0.7484 0.6695
Dy1 Dy 0.0000 0.5000 0.0000
# DFT total energy: -56.79 eV per cell
# Spin magnetization: 0.00 Bohr magnetons per cell
# Formation enthalpy at 0 K: 0.012 eV/atom
# V: 414.47 Å³/cell
# Offset from the most stable computed form: 0 meV/atom